[1]
Compound: Pr3Nd5Y3
Source: the Alexandria database
Functional: PBE
Structure: relaxed

a b c (Å): 9.8146 9.8146 5.5727
angles (deg): 90.00 90.00 120.00
Space group P-62m (No. 189)
Inequivalent atoms, fractional coordinates:
Pr 0.0000 0.3590 0.0000 x3
Nd 0.0000 0.7318 0.0000 x3
Nd 0.3333 0.6667 0.0000 x2
Y 0.0000 0.5294 0.5000 x3

Crystal system   hexagonal
ΔE to the lowest computed polymorph   426 meV per atom

=====

[2]
Compound: BaAl2Te
Source: the Alexandria database
Functional: PBE
Structure: relaxed

a b c (Å): 3.967 3.967 7.217
angles (deg): 90.00 90.00 90.00
Space group P4mm (No. 99)
Inequivalent atoms, fractional coordinates:
Ba 0.000 0.000 0.000 x1
Al 0.000 0.000 0.536 x1
Al 0.500 0.500 0.691 x1
Te 0.500 0.500 0.311 x1

Uncorrected formation energy   -0.296 eV per atom
Crystal system   tetragonal

=====

Across the entries above, electronic total energy takes the values -4.4881 -3.4331 eV per atom, respectively.